Here is a relaxed structure of ThVCd from Alexandria. Energies are from GGA-PBE.

a = 3.285 Å, b = 3.285 Å, c = 15.063 Å
α = 83.74°, β = 83.74°, γ = 60.00°
Fractional positions:
Cd  0.862  0.862  0.415
Th  0.406  0.406  0.782
Cd  0.138  0.138  0.585
V  0.316  0.316  0.053
Th  0.594  0.594  0.218
V  0.684  0.684  0.947

Properties
* total magnetic moment: 0.0 μB per cell
* electronic total energy: -5.50 eV per atom
* space group: No. 166